No. 1
The following is a PBE calculation of Ac8Tb2Tm after structural relaxation, from Alexandria via LeMat-Bulk.

Results
Density ... 8.481 g/cm³
Energy relative to the elements ... 0.05 eV/atom
Space-group type ... No. 12
Total magnetization ... 0.0 μB/f.u.

Unit cell a=10.1728 b=10.1728 c=8.6542 alpha=104.89 beta=104.89 gamma=31.49
Element x y z (fractional)
Ac1 0.0471 0.0471 0.2299
Ac2 0.1382 0.1382 0.6897
Ac3 0.3186 0.3186 0.5849
Ac4 0.4060 0.4060 0.0479
Ac5 0.5940 0.5940 0.9521
Ac6 0.6814 0.6814 0.4151
Ac7 0.8618 0.8618 0.3103
Ac8 0.9529 0.9529 0.7701
Tb1 0.2262 0.2262 0.1323
Tb2 0.7738 0.7738 0.8677
Tm1 0.5000 0.5000 0.5000

=====

No. 2
The following is a PBE calculation of Ac2Tb2Tm after structural relaxation, from Alexandria via LeMat-Bulk.

Results
Density ... 7.916 g/cm³
Energy relative to the elements ... 0.52 eV/atom
Space-group type ... No. 139
Total magnetization ... 0.0 μB/f.u.

Unit cell a=8.9433 b=8.9433 c=8.9433 alpha=148.26 beta=148.26 gamma=45.51
Element x y z (fractional)
Ac1 0.2500 0.7500 0.5000
Ac2 0.7500 0.2500 0.5000
Tb1 0.0913 0.0913 0.0000
Tb2 0.9087 0.9087 0.0000
Tm1 0.5000 0.5000 0.0000

=====

No. 3
The following is a PBE calculation of Ac2TbTm after structural relaxation, from Alexandria via LeMat-Bulk.

Results
Density ... 8.433 g/cm³
Energy relative to the elements ... 0.27 eV/atom
Space-group type ... No. 166
Energy relative to the lowest polymorph listed for this composition ... 20.5 kJ per mole of atoms
Total magnetization ... 0.0 μB/f.u.

Unit cell a=13.2191 b=13.2191 c=13.2191 alpha=16.05 beta=16.05 gamma=16.05
Element x y z (fractional)
Ac1 0.0883 0.0883 0.0883
Ac2 0.9117 0.9117 0.9117
Tb1 0.5000 0.5000 0.5000
Tm1 0.0000 0.0000 0.0000

=====

No. 4
The following is a PBE calculation of AcTb3Tm6 after structural relaxation, from Alexandria via LeMat-Bulk.

Results
Density ... 8.294 g/cm³
Energy relative to the elements ... 0.27 eV/atom
Space-group type ... No. 2
Energy relative to the lowest polymorph listed for this composition ... 11.6 kJ per mole of atoms
Total magnetization ... 0.0 μB/f.u.

Unit cell a=5.5703 b=8.4937 c=8.8950 alpha=105.79 beta=108.20 gamma=108.97
Element x y z (fractional)
Ac1 0.0000 0.0000 0.0000
Tb1 0.0000 0.5000 0.5000
Tb2 0.0363 0.7695 0.3026
Tb3 0.9637 0.2305 0.6974
Tm1 0.3136 0.4787 0.1458
Tm2 0.3445 0.2344 0.4546
Tm3 0.3917 0.0339 0.7499
Tm4 0.6083 0.9661 0.2501
Tm5 0.6555 0.7656 0.5454
Tm6 0.6864 0.5213 0.8542

=====

No. 5
The following is a PBE calculation of AcTbTm14 after structural relaxation, from Alexandria via LeMat-Bulk.

Results
Density ... 9.146 g/cm³
Energy relative to the elements ... 0.01 eV/atom
Space-group type ... No. 38
Total magnetization ... 0.0 μB/f.u.

Unit cell a=11.1741 b=7.1824 c=7.1824 alpha=60.05 beta=90.00 gamma=90.00
Element x y z (fractional)
Ac1 0.0000 0.0000 0.0000
Tb1 0.0000 0.4998 0.4998
Tm1 0.0000 0.0027 0.5003
Tm2 0.0000 0.5003 0.0027
Tm3 0.2511 0.6680 0.6680
Tm4 0.2553 0.1692 0.1692
Tm5 0.2563 0.1689 0.6651
Tm6 0.2563 0.6651 0.1689
Tm7 0.5000 0.0013 0.0013
Tm8 0.5000 0.0008 0.5010
Tm9 0.5000 0.5010 0.0008
Tm10 0.5000 0.5012 0.5012
Tm11 0.7437 0.1689 0.6651
Tm12 0.7437 0.6651 0.1689
Tm13 0.7447 0.1692 0.1692
Tm14 0.7489 0.6680 0.6680

=====

No. 6
The following is a PBE calculation of AcTb14Tm after structural relaxation, from Alexandria via LeMat-Bulk.

Results
Density ... 8.263 g/cm³
Energy relative to the elements ... 0.02 eV/atom
Space-group type ... No. 38
Total magnetization ... 0.0 μB/f.u.

Unit cell a=11.4188 b=7.2995 c=7.2995 alpha=59.96 beta=90.00 gamma=90.00
Element x y z (fractional)
Ac1 0.0000 0.0000 0.0000
Tb1 0.0000 0.5029 0.9983
Tb2 0.0000 0.9983 0.5029
Tb3 0.2489 0.3344 0.3344
Tb4 0.2534 0.3371 0.8327
Tb5 0.2534 0.8327 0.3371
Tb6 0.2547 0.8331 0.8331
Tb7 0.5000 0.0012 0.0012
Tb8 0.5000 0.0010 0.5008
Tb9 0.5000 0.5008 0.0010
Tb10 0.5000 0.5009 0.5009
Tb11 0.7453 0.8331 0.8331
Tb12 0.7466 0.3371 0.8327
Tb13 0.7466 0.8327 0.3371
Tb14 0.7511 0.3344 0.3344
Tm1 0.0000 0.5018 0.5018

=====

No. 7
The following is a PBE calculation of Ac7Tb2Tm2 after structural relaxation, from Alexandria via LeMat-Bulk.

Results
Density ... 8.057 g/cm³
Energy relative to the elements ... 0.27 eV/atom
Space-group type ... No. 12
Total magnetization ... 0.0 μB/f.u.

Unit cell a=8.4695 b=8.4695 c=6.6767 alpha=95.94 beta=95.94 gamma=77.05
Element x y z (fractional)
Ac1 0.0000 0.0000 0.0000
Ac2 0.0879 0.4342 0.2498
Ac3 0.4342 0.0879 0.2498
Ac4 0.4502 0.4502 0.7361
Ac5 0.5498 0.5498 0.2639
Ac6 0.5658 0.9121 0.7502
Ac7 0.9121 0.5658 0.7502
Tb1 0.1991 0.1991 0.7091
Tb2 0.8009 0.8009 0.2909
Tm1 0.1734 0.8266 0.5000
Tm2 0.8266 0.1734 0.5000

=====

No. 8
The following is a PBE calculation of Ac2TbTm after structural relaxation, from Alexandria via LeMat-Bulk.

Results
Density ... 8.620 g/cm³
Energy relative to the elements ... 0.09 eV/atom
Space-group type ... No. 225
Energy relative to the lowest polymorph listed for this composition ... 3.9 kJ per mole of atoms
Total magnetization ... 0.0 μB/f.u.

Unit cell a=5.9722 b=5.9722 c=5.9722 alpha=60.00 beta=60.00 gamma=60.00
Element x y z (fractional)
Ac1 0.2500 0.2500 0.2500
Ac2 0.7500 0.7500 0.7500
Tb1 0.0000 0.0000 0.0000
Tm1 0.5000 0.5000 0.5000